Below is an optimized crystal structure of Pm2H6IrPd, with properties calculated at the PBE-GGA level.

* symmetry: C2/m
* DFT total energy: -4.8833 eV/atom

```
Pm2H6IrPd
1.0
-4.6382 -2.6630 -0.0645
0.7250 -1.0713 -5.1899
-0.1697 -5.0132 -1.7344
Pd Ir H Pm
1 1 6 2
Direct
0.0000 0.0000 0.0000
0.5000 0.5000 0.0000
0.2644 0.7357 0.0000
0.7375 0.7375 0.5239
0.2625 0.2625 0.4761
0.7356 0.2643 0.0000
0.2640 0.2640 0.9993
0.7360 0.7360 0.0007
0.2501 0.7499 0.5000
0.7499 0.2501 0.5000
```